Material: Zr3P
Method: DFT, PBE
State: optimized geometry

a = 10.8484 Å, b = 10.8484 Å, c = 5.3797 Å
α = 90.00°, β = 90.00°, γ = 90.00°
Space group P4_2/n (No. 86, origin choice 2)
Inequivalent atoms, fractional coordinates:
1 Zr 0.0349 0.9297 0.2344 (multiplicity 8)
2 Zr 0.1125 0.2771 0.0287 (multiplicity 8)
3 Zr 0.1422 0.8348 0.7125 (multiplicity 8)
4 P 0.0436 0.2906 0.5373 (multiplicity 8)

Output
DOS at the Fermi energy	25.39	states/eV/cell
electronic total energy	-8.63	eV/atom
polymorph energy (0 for the lowest one)	0.0	meV per atom
energy relative to the elements	-0.863	eV per atom

Material: SrCu2GeS4
Method: DFT, PBE
State: optimized geometry

a = 6.1849 Å, b = 6.1849 Å, c = 15.3274 Å
α = 90.00°, β = 90.00°, γ = 120.00°
Space group P3_221 (No. 154)
Inequivalent atoms, fractional coordinates:
1 Sr 0.0000 0.5540 0.3333 (multiplicity 3)
2 Cu 0.0759 0.6505 0.0887 (multiplicity 6)
3 Ge 0.0000 0.7133 0.8333 (multiplicity 3)
4 S 0.0375 0.5080 0.7181 (multiplicity 6)
5 S 0.1025 0.3361 0.1651 (multiplicity 6)

Output
ΔE_f (raw)	-6.40	eV per formula unit
electronic total energy	-4.68	eV/atom

Material: Li2GeAu6
Method: DFT, PBE
State: optimized geometry

a = 5.3375 Å, b = 5.3375 Å, c = 13.1290 Å
α = 90.00°, β = 90.00°, γ = 90.00°
Space group P4_2/mnm (No. 136)
Inequivalent atoms, fractional coordinates:
1 Li 0.0000 0.0000 0.1523 (multiplicity 4)
2 Ge 0.0000 0.0000 0.5000 (multiplicity 2)
3 Au 0.1795 0.1795 0.0000 (multiplicity 4)
4 Au 0.1830 0.1830 0.3091 (multiplicity 8)

Output
DOS at the Fermi energy	3.76	states/eV/cell
electronic total energy	-2.96	eV/atom
energy relative to the elements	0.163	eV per atom

Material: Dy5HoPb5
Method: DFT, PBE
State: optimized geometry

a = 15.7659 Å, b = 6.2597 Å, c = 7.3577 Å
α = 90.00°, β = 103.30°, γ = 90.00°
Space group C2/m (No. 12)
Inequivalent atoms, fractional coordinates:
1 Dy 0.0000 0.0000 0.0000 (multiplicity 2)
2 Dy 0.1612 0.5000 0.8332 (multiplicity 4)
3 Dy 0.1639 0.5000 0.3315 (multiplicity 4)
4 Ho 0.0000 0.0000 0.5000 (multiplicity 2)
5 Pb 0.0000 0.5000 0.5000 (multiplicity 2)
6 Pb 0.1668 0.0000 0.8388 (multiplicity 4)
7 Pb 0.1678 0.0000 0.3298 (multiplicity 4)

Output
DOS at the Fermi energy	17.53	states/eV/cell
electronic total energy	-4.46	eV/atom
energy relative to the elements	-0.265	eV per atom

Material: LiNCl2
Method: DFT, PBE
State: optimized geometry

a = 4.0751 Å, b = 6.9704 Å, c = 7.9633 Å
α = 109.71°, β = 96.41°, γ = 94.85°
Space group P-1 (No. 2)
Inequivalent atoms, fractional coordinates:
1 Li 0.2046 0.3510 0.3892 (multiplicity 2)
2 N 0.1837 0.0275 0.2936 (multiplicity 2)
3 Cl 0.2377 0.8317 0.1319 (multiplicity 2)
4 Cl 0.3001 0.5471 0.7034 (multiplicity 2)

Output
ΔE_f (raw)	-0.52	eV per formula unit
DOS at the Fermi energy	0.00	states/eV/cell
electronic total energy	-3.61	eV/atom
polymorph energy (0 for the lowest one)	0.0	meV per atom

Material: PuZrAgO6
Method: DFT, PBE
State: optimized geometry

a = 5.6216 Å, b = 5.6216 Å, c = 9.8171 Å
α = 90.00°, β = 90.00°, γ = 120.00°
Space group P-31c (No. 163)
Inequivalent atoms, fractional coordinates:
1 Pu 0.3333 0.6667 0.2500 (multiplicity 2)
2 Zr 0.3333 0.6667 0.7500 (multiplicity 2)
3 Ag 0.0000 0.0000 0.0000 (multiplicity 2)
4 O 0.0139 0.3761 0.1411 (multiplicity 12)

Output
ΔE_f (raw)	-19.54	eV per formula unit
electronic total energy	-8.34	eV/atom

Material: GaPO
Method: DFT, PBE
State: optimized geometry

a = 4.4775 Å, b = 4.6864 Å, c = 4.7001 Å
α = 90.00°, β = 90.47°, γ = 90.00°
Space group P2_1 (No. 4)
Inequivalent atoms, fractional coordinates:
1 Ga 0.0018 0.0000 0.2414 (multiplicity 2)
2 P 0.3220 0.8928 0.8491 (multiplicity 2)
3 O 0.1585 0.1326 0.6134 (multiplicity 2)

Output
ΔE_f (raw)	-2.47	eV per formula unit
electronic total energy	-5.29	eV/atom
polymorph energy (0 for the lowest one)	181.7	meV per atom

Material: Nd2SeO2
Method: DFT, PBE
State: optimized geometry

a = 4.0179 Å, b = 4.0179 Å, c = 7.0732 Å
α = 90.00°, β = 90.00°, γ = 120.00°
Space group P-3m1 (No. 164)
Inequivalent atoms, fractional coordinates:
1 Nd 0.3333 0.6667 0.2887 (multiplicity 2)
2 Se 0.0000 0.0000 0.0000 (multiplicity 1)
3 O 0.3333 0.6667 0.6256 (multiplicity 2)

Output
ΔE_f (raw)	-15.03	eV per formula unit
DOS at the Fermi energy	0.00	states/eV/cell
electronic total energy	-7.59	eV/atom

| no. | M_tot (μB/f.u.) |
| --- | --- |
| 1 | 0.0 |
| 2 | 0.0 |
| 3 | 0.0 |
| 4 | 0.0 |
| 5 | 2.0 |
| 6 | 1.0 |
| 7 | 0.0 |
| 8 | 0.0 |